No. 1
{"formula": "Cr2BSeCl", "functional": "SCAN", "state": "PBEsol geometry", "space_group": "P4/mmm (123)", "final_energy_ev_per_atom": -13.41, "e_form_raw_ev_per_atom": 1.0446, "cell": [[4.505, 0.000, 0.000], [0.000, 4.505, 0.000], [0.000, 0.000, 3.740]], "species": ["Cr", "Cr", "B", "Se", "Cl"], "frac_coords": [[0.000, 0.500, 0.000], [0.500, 0.000, 0.000], [0.000, 0.000, 0.500], [0.500, 0.500, 0.500], [0.000, 0.000, 0.000]]}

No. 2
{"formula": "Y3TcAg", "functional": "SCAN", "state": "PBEsol geometry", "space_group": "Pm-3m (221)", "formation_enthalpy_0k_ev_per_atom": 0.82, "final_energy_ev_per_atom": -29.17, "cell": [[5.295, 0.000, 0.000], [0.000, 5.295, 0.000], [0.000, 0.000, 5.295]], "species": ["Y", "Y", "Y", "Tc", "Ag"], "frac_coords": [[0.000, 0.000, 0.500], [0.000, 0.500, 0.000], [0.500, 0.000, 0.000], [0.500, 0.500, 0.500], [0.000, 0.000, 0.000]]}

No. 3
{"formula": "LaSiHg2", "functional": "SCAN", "state": "PBEsol geometry", "space_group": "Pmmm (47)", "final_energy_ev_per_atom": -47.53, "e_form_raw_ev_per_atom": -0.1670, "cell": [[3.366, 0.000, 0.000], [0.000, 3.888, 0.000], [0.000, 0.000, 6.982]], "species": ["La", "Si", "Hg", "Hg"], "frac_coords": [[0.000, 0.000, 0.000], [0.000, 0.000, 0.500], [0.500, 0.500, 0.287], [0.500, 0.500, 0.713]]}

No. 4
{"formula": "HfBeCo3", "functional": "SCAN", "state": "PBEsol geometry", "space_group": "Pm-3m (221)", "formation_enthalpy_0k_ev_per_atom": 1.70, "final_energy_ev_per_atom": -22.09, "cell": [[4.391, 0.000, 0.000], [0.000, 4.391, 0.000], [0.000, 0.000, 4.391]], "species": ["Hf", "Be", "Co", "Co", "Co"], "frac_coords": [[0.000, 0.000, 0.000], [0.500, 0.500, 0.500], [0.000, 0.000, 0.500], [0.000, 0.500, 0.000], [0.500, 0.000, 0.000]]}

No. 5
{"formula": "CeEr3", "functional": "SCAN", "state": "PBEsol geometry", "de_polymorph_mev_per_atom": 0, "space_group": "Pm-3m (221)", "formation_enthalpy_0k_ev_per_atom": 0.05, "final_energy_ev_per_atom": -48.85, "cell": [[4.840, 0.000, 0.000], [0.000, 4.840, 0.000], [0.000, 0.000, 4.840]], "species": ["Ce", "Er", "Er", "Er"], "frac_coords": [[0.000, 0.000, 0.000], [0.000, 0.500, 0.500], [0.500, 0.000, 0.500], [0.500, 0.500, 0.000]]}

No. 6
{"formula": "VF5", "functional": "SCAN", "state": "PBEsol geometry", "space_group": "Cc (9)", "final_energy_ev_per_atom": -8.66, "e_form_raw_ev_per_atom": -2.7924, "cell": [[4.783, -2.441, 0.000], [4.783, 2.441, 0.000], [-3.428, 0.000, 7.334]], "species": ["V", "V", "F", "F", "F", "F", "F", "F", "F", "F", "F", "F"], "frac_coords": [[0.040, 0.960, 0.500], [0.960, 0.040, 0.000], [0.032, 0.317, 0.175], [0.186, 0.813, 0.308], [0.194, 0.632, 0.585], [0.317, 0.032, 0.675], [0.364, 0.812, 0.010], [0.632, 0.194, 0.085], [0.688, 0.966, 0.422], [0.812, 0.364, 0.510], [0.813, 0.186, 0.808], [0.966, 0.688, 0.922]]}

No. 7
{"formula": "La2AlHg", "functional": "SCAN", "state": "PBEsol geometry", "de_polymorph_mev_per_atom": 6, "space_group": "Imm2 (44)", "formation_enthalpy_0k_ev_per_atom": -0.53, "final_energy_ev_per_atom": -41.07, "cell": [[-1.892, 2.615, 5.328], [1.892, -2.615, 5.328], [1.892, 2.615, -5.328]], "species": ["La", "La", "Al", "Hg"], "frac_coords": [[0.000, 0.000, 0.000], [0.721, 0.221, 0.500], [0.271, 0.771, 0.500], [0.455, 0.455, 0.000]]}

No. 8
{"formula": "BaCa2Be", "functional": "SCAN", "state": "PBEsol geometry", "space_group": "I-42d (122)", "formation_enthalpy_0k_ev_per_atom": 0.42, "final_energy_ev_per_atom": -15.39, "cell": [[-4.671, 4.671, 3.397], [4.671, -4.671, 3.397], [4.671, 4.671, -3.397]], "species": ["Ba", "Ba", "Ca", "Ca", "Ca", "Ca", "Be", "Be"], "frac_coords": [[0.000, 0.000, 0.000], [0.750, 0.250, 0.500], [0.220, 0.625, 0.095], [0.375, 0.470, 0.595], [0.530, 0.125, 0.905], [0.875, 0.780, 0.405], [0.250, 0.750, 0.500], [0.500, 0.500, 0.000]]}

No. 9
{"formula": "Si4Ir", "functional": "SCAN", "state": "PBEsol geometry", "de_polymorph_mev_per_atom": 0, "space_group": "I4/mmm (139)", "final_energy_ev_per_atom": -21.80, "e_form_raw_ev_per_atom": 0.4315, "cell": [[-1.607, 1.607, 7.248], [1.607, -1.607, 7.248], [1.607, 1.607, -7.248]], "species": ["Si", "Si", "Si", "Si", "Ir"], "frac_coords": [[0.093, 0.093, 0.000], [0.250, 0.750, 0.500], [0.750, 0.250, 0.500], [0.907, 0.907, 0.000], [0.500, 0.500, 0.000]]}

No. 10
{"formula": "MgAsCl2", "functional": "SCAN", "state": "PBEsol geometry", "de_polymorph_mev_per_atom": 104, "space_group": "Immm (71)", "final_energy_ev_per_atom": -10.97, "e_form_raw_ev_per_atom": -0.6898, "cell": [[-1.579, 2.698, 5.829], [1.579, -2.698, 5.829], [1.579, 2.698, -5.829]], "species": ["Mg", "As", "Cl", "Cl"], "frac_coords": [[0.000, 0.000, 0.000], [0.500, 0.500, 0.000], [0.153, 0.653, 0.500], [0.847, 0.347, 0.500]]}

No. 11
{"formula": "La2TiHPd", "functional": "SCAN", "state": "PBEsol geometry", "space_group": "P4/mmm (123)", "final_energy_ev_per_atom": -27.56, "cell": [[5.442, 0.000, 0.000], [0.000, 5.442, 0.000], [0.000, 0.000, 3.467]], "species": ["La", "La", "Ti", "H", "Pd"], "frac_coords": [[0.000, 0.500, 0.000], [0.500, 0.000, 0.000], [0.000, 0.000, 0.000], [0.000, 0.000, 0.500], [0.500, 0.500, 0.500]]}

No. 12
{"formula": "LaNb2W", "functional": "SCAN", "state": "PBEsol geometry", "space_group": "Fm-3m (225)", "formation_enthalpy_0k_ev_per_atom": 0.48, "final_energy_ev_per_atom": -44.28, "cell": [[0.000, 3.367, 3.367], [3.367, 0.000, 3.367], [3.367, 3.367, 0.000]], "species": ["La", "Nb", "Nb", "W"], "frac_coords": [[0.000, 0.000, 0.000], [0.250, 0.250, 0.250], [0.750, 0.750, 0.750], [0.500, 0.500, 0.500]]}

What did the eighth record say?
{"formula": "BaCa2Be", "functional": "SCAN", "state": "PBEsol geometry", "space_group": "I-42d (122)", "formation_enthalpy_0k_ev_per_atom": 0.42, "final_energy_ev_per_atom": -15.39, "cell": [[-4.671, 4.671, 3.397], [4.671, -4.671, 3.397], [4.671, 4.671, -3.397]], "species": ["Ba", "Ba", "Ca", "Ca", "Ca", "Ca", "Be", "Be"], "frac_coords": [[0.000, 0.000, 0.000], [0.750, 0.250, 0.500], [0.220, 0.625, 0.095], [0.375, 0.470, 0.595], [0.530, 0.125, 0.905], [0.875, 0.780, 0.405], [0.250, 0.750, 0.500], [0.500, 0.500, 0.000]]}